1.
Density functional theory data (GGA-PBEsol) for crystalline Os2PtCl at its relaxed geometry.

Results
ρ: 13.34 g/cm³
Final energy: -0.559 Ry per atom
Uncorrected formation energy: 744 meV/atom

The structure in CIF format:
```
data_Os2PtCl
_chemical_formula_sum 'Os4 Pt2 Cl2'
_space_group_name_H-M_alt 'C 1 2/m 1'
_space_group_IT_number 12
_cell_length_a 8.893
_cell_length_b 2.757
_cell_length_c 7.455
_cell_angle_alpha 90.00
_cell_angle_beta 123.64
_cell_angle_gamma 90.00
loop_
_space_group_symop_operation_xyz
'x,y,z'
'-x,-y,-z'
'-x,y,-z'
'x,-y,z'
'x+1/2,y+1/2,z'
'-x+1/2,-y+1/2,-z'
'-x+1/2,y+1/2,-z'
'x+1/2,-y+1/2,z'
loop_
_atom_site_label
_atom_site_fract_x
_atom_site_fract_y
_atom_site_fract_z
Os1 0.203 0.000 0.335
Pt1 0.000 0.000 0.500
Cl1 0.000 0.500 0.000
```



2.
Density functional theory data (GGA-PBEsol) for crystalline OsPtCl2 at its relaxed geometry.

Results
ρ: 10.64 g/cm³
Final energy: -0.391 Ry per atom
Uncorrected formation energy: 481 meV/atom
Energy above the most stable polymorph in this dataset: 0 meV per atom

The structure in CIF format:
```
data_OsPtCl2
_chemical_formula_sum 'Os3 Pt3 Cl6'
_space_group_name_H-M_alt 'R -3 m'
_space_group_IT_number 166
_space_group_name_Hall '-R 3 2"'
_cell_length_a 2.7403
_cell_length_b 2.7403
_cell_length_c 32.8372
_cell_angle_alpha 90.00
_cell_angle_beta 90.00
_cell_angle_gamma 120.00
loop_
_atom_site_label
_atom_site_fract_x
_atom_site_fract_y
_atom_site_fract_z
Os1 0.0000 0.0000 0.0000
Pt1 0.0000 0.0000 0.5000
Cl1 0.0000 0.0000 0.0674
```



3.
Density functional theory data (GGA-PBEsol) for crystalline OsPtCl2 at its relaxed geometry.

Results
ρ: 12.22 g/cm³
Final energy: -0.337 Ry per atom
Uncorrected formation energy: 1212 meV/atom
Energy above the most stable polymorph in this dataset: 731 meV per atom

The structure in CIF format:
```
data_OsPtCl2
_chemical_formula_sum 'Os1 Pt1 Cl2'
_space_group_name_H-M_alt 'P 4/m m m'
_space_group_IT_number 123
_space_group_name_Hall '-P 4 2'
_cell_length_a 2.877
_cell_length_b 2.877
_cell_length_c 7.489
_cell_angle_alpha 90.00
_cell_angle_beta 90.00
_cell_angle_gamma 90.00
loop_
_atom_site_label
_atom_site_fract_x
_atom_site_fract_y
_atom_site_fract_z
Os1 0.000 0.000 0.000
Pt1 0.000 0.000 0.500
Cl1 0.500 0.500 0.216
```



4.
Density functional theory data (GGA-PBEsol) for crystalline OsPtCl at its relaxed geometry.

Results
ρ: 13.30 g/cm³
Final energy: -0.443 Ry per atom
Uncorrected formation energy: 1041 meV/atom
Energy above the most stable polymorph in this dataset: 0 meV per atom

The structure in CIF format:
```
data_OsPtCl
_chemical_formula_sum 'Os4 Pt4 Cl4'
_space_group_name_H-M_alt 'F -4 3 m'
_space_group_IT_number 216
_space_group_name_Hall 'F -4 2 3'
_cell_length_a 5.945
_cell_length_b 5.945
_cell_length_c 5.945
_cell_angle_alpha 90.00
_cell_angle_beta 90.00
_cell_angle_gamma 90.00
loop_
_atom_site_label
_atom_site_fract_x
_atom_site_fract_y
_atom_site_fract_z
Os1 0.000 0.000 0.000
Pt1 0.250 0.250 0.750
Cl1 0.250 0.250 0.250
```



5.
Density functional theory data (GGA-PBEsol) for crystalline OsPtCl2 at its relaxed geometry.

Results
ρ: 11.71 g/cm³
Final energy: -0.377 Ry per atom
Uncorrected formation energy: 671 meV/atom
Energy above the most stable polymorph in this dataset: 190 meV per atom

The structure in CIF format:
```
data_OsPtCl2
_chemical_formula_sum 'Os2 Pt2 Cl4'
_space_group_name_H-M_alt 'C m m m'
_space_group_IT_number 65
_space_group_name_Hall '-C 2 2'
_cell_length_a 2.790
_cell_length_b 5.141
_cell_length_c 9.017
_cell_angle_alpha 90.00
_cell_angle_beta 90.00
_cell_angle_gamma 90.00
loop_
_atom_site_label
_atom_site_fract_x
_atom_site_fract_y
_atom_site_fract_z
Os1 0.000 0.000 0.000
Pt1 0.000 0.000 0.500
Cl1 0.000 0.500 0.214
```



6.
Density functional theory data (GGA-PBEsol) for crystalline OsPtCl2 at its relaxed geometry.

Results
ρ: 12.06 g/cm³
Final energy: -0.371 Ry per atom
Uncorrected formation energy: 745 meV/atom
Energy above the most stable polymorph in this dataset: 263 meV per atom

The structure in CIF format:
```
data_OsPtCl2
_chemical_formula_sum 'Os3 Pt3 Cl6'
_space_group_name_H-M_alt 'R -3 m'
_space_group_IT_number 166
_space_group_name_Hall '-R 3 2"'
_cell_length_a 2.8794
_cell_length_b 2.8794
_cell_length_c 26.2412
_cell_angle_alpha 90.00
_cell_angle_beta 90.00
_cell_angle_gamma 120.00
loop_
_atom_site_label
_atom_site_fract_x
_atom_site_fract_y
_atom_site_fract_z
Os1 0.0000 0.0000 0.0000
Pt1 0.0000 0.0000 0.5000
Cl1 0.0000 0.0000 0.4085
```



7.
Density functional theory data (GGA-PBEsol) for crystalline OsPtCl at its relaxed geometry.

Results
ρ: 14.65 g/cm³
Final energy: -0.398 Ry per atom
Uncorrected formation energy: 1651 meV/atom
Energy above the most stable polymorph in this dataset: 610 meV per atom

The structure in CIF format:
```
data_OsPtCl
_chemical_formula_sum 'Os4 Pt4 Cl4'
_space_group_name_H-M_alt 'F -4 3 m'
_space_group_IT_number 216
_space_group_name_Hall 'F -4 2 3'
_cell_length_a 5.757
_cell_length_b 5.757
_cell_length_c 5.757
_cell_angle_alpha 90.00
_cell_angle_beta 90.00
_cell_angle_gamma 90.00
loop_
_atom_site_label
_atom_site_fract_x
_atom_site_fract_y
_atom_site_fract_z
Os1 0.000 0.000 0.000
Pt1 0.000 0.000 0.500
Cl1 0.250 0.250 0.750
```



8.
Density functional theory data (GGA-PBEsol) for crystalline RbOsCl3 at its relaxed geometry.

Results
ρ: 5.65 g/cm³
Final energy: -0.320 Ry per atom
Uncorrected formation energy: -500 meV/atom

The structure in CIF format:
```
data_RbOsCl3
_chemical_formula_sum 'Rb1 Os1 Cl3'
_space_group_name_H-M_alt 'P m -3 m'
_space_group_IT_number 221
_space_group_name_Hall '-P 4 2 3'
_cell_length_a 4.823
_cell_length_b 4.823
_cell_length_c 4.823
_cell_angle_alpha 90.00
_cell_angle_beta 90.00
_cell_angle_gamma 90.00
loop_
_atom_site_label
_atom_site_fract_x
_atom_site_fract_y
_atom_site_fract_z
Rb1 0.000 0.000 0.000
Os1 0.500 0.500 0.500
Cl1 0.000 0.500 0.500
```



9.
Density functional theory data (GGA-PBEsol) for crystalline Rb2OsCl2 at its relaxed geometry.

Results
ρ: 3.67 g/cm³
Final energy: -0.239 Ry per atom
Uncorrected formation energy: 401 meV/atom

The structure in CIF format:
```
data_Rb2OsCl2
_chemical_formula_sum 'Rb4 Os2 Cl4'
_space_group_name_H-M_alt 'I 4/m m m'
_space_group_IT_number 139
_space_group_name_Hall '-I 4 2'
_cell_length_a 5.966
_cell_length_b 5.966
_cell_length_c 10.998
_cell_angle_alpha 90.00
_cell_angle_beta 90.00
_cell_angle_gamma 90.00
loop_
_atom_site_label
_atom_site_fract_x
_atom_site_fract_y
_atom_site_fract_z
Rb1 0.000 0.000 0.170
Os1 0.000 0.000 0.500
Cl1 0.000 0.500 0.250
```



10.
Density functional theory data (GGA-PBEsol) for crystalline Re2OsCl at its relaxed geometry.

Results
ρ: 16.52 g/cm³
Final energy: -0.696 Ry per atom
Uncorrected formation energy: 755 meV/atom

The structure in CIF format:
```
data_Re2OsCl
_chemical_formula_sum 'Re4 Os2 Cl2'
_space_group_name_H-M_alt 'C m m 2'
_space_group_IT_number 35
_cell_length_a 2.785
_cell_length_b 4.793
_cell_length_c 9.006
_cell_angle_alpha 90.00
_cell_angle_beta 90.00
_cell_angle_gamma 90.00
loop_
_space_group_symop_operation_xyz
'x,y,z'
'-x,-y,z'
'-x,y,z'
'x,-y,z'
'x+1/2,y+1/2,z'
'-x+1/2,-y+1/2,z'
'-x+1/2,y+1/2,z'
'x+1/2,-y+1/2,z'
loop_
_atom_site_label
_atom_site_fract_x
_atom_site_fract_y
_atom_site_fract_z
Re1 0.000 0.000 0.000
Re2 0.000 0.500 0.252
Os1 0.000 0.000 0.494
Cl1 0.000 0.500 0.764
```



11.
Density functional theory data (GGA-PBEsol) for crystalline ReOs2Cl at its relaxed geometry.

Results
ρ: 17.75 g/cm³
Final energy: -0.657 Ry per atom
Uncorrected formation energy: 1006 meV/atom
Energy above the most stable polymorph in this dataset: 185 meV per atom

The structure in CIF format:
```
data_ReOs2Cl
_chemical_formula_sum 'Re2 Os4 Cl2'
_space_group_name_H-M_alt 'I m m 2'
_space_group_IT_number 44
_cell_length_a 2.819
_cell_length_b 4.499
_cell_length_c 8.883
_cell_angle_alpha 90.00
_cell_angle_beta 90.00
_cell_angle_gamma 90.00
loop_
_space_group_symop_operation_xyz
'x,y,z'
'-x,-y,z'
'-x,y,z'
'x,-y,z'
'x+1/2,y+1/2,z+1/2'
'-x+1/2,-y+1/2,z+1/2'
'-x+1/2,y+1/2,z+1/2'
'x+1/2,-y+1/2,z+1/2'
loop_
_atom_site_label
_atom_site_fract_x
_atom_site_fract_y
_atom_site_fract_z
Re1 0.000 0.000 0.000
Os1 0.000 0.000 0.464
Os2 0.000 0.500 0.232
Cl1 0.000 0.500 0.726
```



12.
Density functional theory data (GGA-PBEsol) for crystalline ReOs2Cl at its relaxed geometry.

Results
ρ: 16.83 g/cm³
Final energy: -0.670 Ry per atom
Uncorrected formation energy: 822 meV/atom
Energy above the most stable polymorph in this dataset: 0 meV per atom

The structure in CIF format:
```
data_ReOs2Cl
_chemical_formula_sum 'Re2 Os4 Cl2'
_space_group_name_H-M_alt 'C m m m'
_space_group_IT_number 65
_space_group_name_Hall '-C 2 2'
_cell_length_a 2.752
_cell_length_b 4.823
_cell_length_c 8.950
_cell_angle_alpha 90.00
_cell_angle_beta 90.00
_cell_angle_gamma 90.00
loop_
_atom_site_label
_atom_site_fract_x
_atom_site_fract_y
_atom_site_fract_z
Re1 0.000 0.000 0.000
Os1 0.000 0.500 0.247
Cl1 0.000 0.000 0.500
```